Record 1
Compound: RbSb3Mo
Source: Alexandria via LeMat-Bulk
Functional: GGA-PBE
Structure: relaxed

a b c (Å): 5.650 5.650 5.650
angles (deg): 90.00 90.00 90.00
Space group Pm-3m (No. 221)
Unique sites:
Rb: 0.000 0.000 0.000 x1
Sb: 0.000 0.000 0.500 x3
Mo: 0.500 0.500 0.500 x1

Calculated values
theoretical density	5.03	g cm⁻³
energy above the lowest structure with this stoichiometry	2.307	eV per atom
energy	-2.341	eV/atom

Record 2
Compound: NaMg6Si
Source: Alexandria via LeMat-Bulk
Functional: GGA-PBE
Structure: relaxed

a b c (Å): 4.989 6.398 11.093
angles (deg): 90.00 90.00 90.00
Space group Amm2 (No. 38)
Unique sites:
Na: 0.000 0.000 0.000 x2
Mg: 0.000 0.247 0.250 x4
Mg: 0.500 0.000 0.171 x2
Mg: 0.500 0.000 0.665 x2
Mg: 0.500 0.240 0.421 x4
Si: 0.000 0.000 0.497 x2

Calculated values
theoretical density	1.85	g cm⁻³
energy above the lowest structure with this stoichiometry	0.000	eV per atom
energy	-1.948	eV/atom

Record 3
Compound: InSiW
Source: Alexandria via LeMat-Bulk
Functional: GGA-PBE
Structure: relaxed

a b c (Å): 3.0407 3.0407 6.6753
angles (deg): 90.00 90.00 120.00
Space group P3m1 (No. 156)
Unique sites:
In: 0.0000 0.0000 0.0000 x1
Si: 0.6667 0.3333 0.3658 x1
W: 0.3333 0.6667 0.6424 x1

Calculated values
theoretical density	10.15	g cm⁻³
energy	-6.621	eV/atom

Record 4
Compound: CoReSb2
Source: Alexandria via LeMat-Bulk
Functional: GGA-PBE
Structure: relaxed

a b c (Å): 3.244 4.927 4.774
angles (deg): 90.00 100.96 90.00
Space group Pm (No. 6)
Unique sites:
Co: 0.000 0.000 0.000 x1
Re: 0.416 0.500 0.813 x1
Sb: 0.031 0.500 0.248 x1
Sb: 0.397 0.000 0.578 x1

Calculated values
theoretical density	10.83	g cm⁻³
energy above the lowest structure with this stoichiometry	0.195	eV per atom
energy	-6.493	eV/atom

Record 5
Compound: Na24In5O15
Source: Alexandria via LeMat-Bulk
Functional: GGA-PBE
Structure: relaxed

a b c (Å): 11.265 11.265 11.265
angles (deg): 90.00 90.00 90.00
Space group I-43m (No. 217)
Unique sites:
Na: 0.085 0.368 0.632 x24
Na: 0.109 0.109 0.675 x24
In: 0.000 0.000 0.000 x2
In: 0.144 0.144 0.144 x8
O: 0.000 0.000 0.500 x6
O: 0.047 0.261 0.261 x24

Calculated values
theoretical density	3.17	g cm⁻³
energy	-3.942	eV/atom

Record 6
Compound: Tb5Sm2In4
Source: Alexandria via LeMat-Bulk
Functional: GGA-PBE
Structure: relaxed

a b c (Å): 8.644 3.460 10.582
angles (deg): 90.00 96.15 90.00
Space group P2/m (No. 10)
Unique sites:
Tb: 0.000 0.000 0.000 x1
Tb: 0.039 0.000 0.332 x2
Tb: 0.337 0.000 0.856 x2
Sm: 0.416 0.000 0.362 x2
In: 0.248 0.500 0.578 x2
In: 0.300 0.500 0.115 x2

Calculated values
formation enthalpy at 0 K	-254.3	meV per atom
theoretical density	8.20	g cm⁻³
energy	-4.213	eV/atom

Record 7
Compound: NaIr2Os2
Source: Alexandria via LeMat-Bulk
Functional: GGA-PBE
Structure: relaxed

a b c (Å): 7.763 7.763 2.691
angles (deg): 90.00 90.00 90.00
Space group P4/mbm (No. 127)
Unique sites:
Na: 0.000 0.000 0.000 x2
Ir: 0.122 0.378 0.000 x4
Os: 0.173 0.673 0.500 x4

Calculated values
formation enthalpy at 0 K	320.3	meV per atom
theoretical density	16.14	g cm⁻³
energy above the lowest structure with this stoichiometry	0.066	eV per atom
energy	-7.980	eV/atom

Record 8
Compound: Cd2HgN
Source: Alexandria via LeMat-Bulk
Functional: GGA-PBE
Structure: relaxed

a b c (Å): 6.666 6.666 6.666
angles (deg): 90.00 90.00 90.00
Space group Fm-3m (No. 225)
Unique sites:
Cd: 0.250 0.250 0.250 x8
Hg: 0.000 0.000 0.000 x4
N: 0.000 0.000 0.500 x4

Calculated values
theoretical density	9.85	g cm⁻³
energy above the lowest structure with this stoichiometry	0.482	eV per atom
energy	-1.719	eV/atom

Record 9
Compound: CaAs2PdBr
Source: Alexandria via LeMat-Bulk
Functional: GGA-PBE
Structure: relaxed

a b c (Å): 5.468 5.468 5.325
angles (deg): 90.00 90.00 90.00
Space group P4/mmm (No. 123)
Unique sites:
Ca: 0.000 0.000 0.000 x1
As: 0.000 0.500 0.000 x2
Pd: 0.500 0.500 0.500 x1
Br: 0.000 0.000 0.500 x1

Calculated values
theoretical density	3.92	g cm⁻³
energy above the lowest structure with this stoichiometry	0.868	eV per atom
energy	-3.004	eV/atom

Record 10
Compound: CaAcGaRu
Source: Alexandria via LeMat-Bulk
Functional: GGA-PBE
Structure: relaxed

a b c (Å): 7.347 7.347 7.347
angles (deg): 90.00 90.00 90.00
Space group F-43m (No. 216)
Unique sites:
Ca: 0.000 0.000 0.000 x4
Ac: 0.000 0.000 0.500 x4
Ga: 0.250 0.250 0.750 x4
Ru: 0.250 0.250 0.250 x4

Calculated values
formation enthalpy at 0 K	-68.1	meV per atom
theoretical density	7.33	g cm⁻³
energy above the lowest structure with this stoichiometry	0.235	eV per atom
energy	-4.671	eV/atom

Record 11
Compound: KCrOs
Source: Alexandria via LeMat-Bulk
Functional: GGA-PBE
Structure: relaxed

a b c (Å): 6.445 6.445 6.445
angles (deg): 90.00 90.00 90.00
Space group F-43m (No. 216)
Unique sites:
K: 0.000 0.000 0.000 x4
Cr: 0.000 0.000 0.500 x4
Os: 0.250 0.250 0.250 x4

Calculated values
formation enthalpy at 0 K	1825.6	meV per atom
theoretical density	6.98	g cm⁻³
energy above the lowest structure with this stoichiometry	0.971	eV per atom
energy	-5.491	eV/atom

Record 12
Compound: NaCd5Au
Source: Alexandria via LeMat-Bulk
Functional: GGA-PBE
Structure: relaxed

a b c (Å): 4.655 4.655 7.553
angles (deg): 90.00 90.00 90.00
Space group P4/mmm (No. 123)
Unique sites:
Na: 0.000 0.000 0.000 x1
Cd: 0.000 0.500 0.284 x4
Cd: 0.500 0.500 0.000 x1
Au: 0.000 0.000 0.500 x1

Calculated values
formation enthalpy at 0 K	-120.5	meV per atom
theoretical density	7.94	g cm⁻³
energy	-1.431	eV/atom

Record 13
Compound: SbBrO
Source: Alexandria via LeMat-Bulk
Functional: GGA-PBE
Structure: relaxed

a b c (Å): 4.215 6.206 6.730
angles (deg): 103.01 90.07 106.81
Space group P-1 (No. 2)
Unique sites:
Sb: 0.207 0.400 0.300 x2
Br: 0.371 0.786 0.177 x2
O: 0.266 0.537 0.606 x2

Calculated values
theoretical density	4.41	g cm⁻³
energy above the lowest structure with this stoichiometry	0.007	eV per atom
energy	-4.613	eV/atom